Material: FeNiP2O
Method: DFT, GGA+U
State: relaxed

```
data_FeNiP2O
_chemical_formula_sum 'Fe1 Ni1 P2 O1'
_space_group_name_H-M_alt 'P 4/m m m'
_space_group_IT_number 123
_space_group_name_Hall '-P 4 2'
_cell_length_a 4.566
_cell_length_b 4.566
_cell_length_c 3.469
_cell_angle_alpha 90.00
_cell_angle_beta 90.00
_cell_angle_gamma 90.00
loop_
_atom_site_label
_atom_site_type_symbol
_atom_site_fract_x
_atom_site_fract_y
_atom_site_fract_z
Fe1 Fe 0.000 0.000 0.000
Ni1 Ni 0.500 0.500 0.500
P1 P 0.000 0.500 0.500
O1 O 0.500 0.500 0.000
```

Output
Offset from the most stable computed form = 0.139 eV/f.u.
DOS(E_F) = 3.8 states/eV/cell
Density = 4.42 Mg/m³
Magnetization = 3.03 μB/f.u.